Here is a geometry-optimized PuTaTiOs structure from Alexandria via LeMat-Bulk. Energies are from PBE.

CIF file:
```
data_PuTaTiOs
_chemical_formula_sum 'Pu4 Ta4 Ti4 Os4'
_cell_length_a 6.525
_cell_length_b 6.525
_cell_length_c 6.525
_cell_angle_alpha 90.00
_cell_angle_beta 90.00
_cell_angle_gamma 90.00
_symmetry_space_group_name_H-M 'F -4 3 m'
_symmetry_Int_Tables_number 216
_symmetry_space_group_name_Hall 'F -4 2 3'
loop_
_atom_site_label
_atom_site_type_symbol
_atom_site_fract_x
_atom_site_fract_y
_atom_site_fract_z
_atom_site_occupancy
Pu1 Pu 0.000 0.000 0.000 1
Ta1 Ta 0.250 0.250 0.250 1
Ti1 Ti 0.250 0.250 0.750 1
Os1 Os 0.000 0.000 0.500 1
```

## Properties
Formation energy (eV per atom): 0.0287
Density of states at the Fermi level (states/eV/atom): 2.408
Volume (Å³ per atom): 17.364